! PBE-GGA Ac2ErAlPd6, optimized geometry; values from VASP
&SYSTEM
  ibrav = 0, nat = 10, ntyp = 4
/
ATOMIC_SPECIES
Ac 227.00 Ac.upf
Er 167.26 Er.upf
Al 26.98 Al.upf
Pd 106.42 Pd.upf
ATOMIC_POSITIONS crystal
Ac 0.6667 0.2183 0.6399
Ac 0.3333 0.7817 0.3601
Er 0.0000 0.0000 0.0000
Al 0.5000 0.5000 0.0000
Pd 0.1582 0.2676 0.4800
Pd 0.8798 0.7105 0.8799
Pd 0.3605 0.7773 0.7214
Pd 0.6395 0.2227 0.2786
Pd 0.1202 0.2895 0.1201
Pd 0.8418 0.7324 0.5200
CELL_PARAMETERS angstrom
7.2298 1.0701 0.3080
1.0702 5.7226 0.3352
4.3584 3.6048 5.8393
! V   221 Å³ per cell
! Magnetic moment   0.000 μB per formula unit
! SG   P-1 (2)
! DFT total energy   -54.932 eV for the cell shown